## CsSi3Pd (PBE-GGA)

Data for crystalline CsSi3Pd at its relaxed geometry.

Values from the calculation:
- total magnetic moment (μB per atom) = 0.000
- Fermi-level density of states (states/eV/f.u.) = 4.77
- symmetry = No. 221
- ΔE_f (raw) (eV per atom) = 2.4699

a b c (Å): 5.3991 5.3991 5.3991
angles (deg): 90.00 90.00 90.00
Closest atoms and distances in Å follow each position.
Fractional positions:
Si1 0.0000 0.5000 0.0000  2 Cs 2.70
Si2 0.0000 0.0000 0.5000  2 Cs 2.70
Si3 0.5000 0.0000 0.0000  2 Cs 2.70
Cs1 0.0000 0.0000 0.0000  6 Si 2.70
Pd1 0.5000 0.5000 0.5000  12 Si 3.82

***

## Cs2SiTe4Pd (PBE-GGA)

Data for crystalline Cs2SiTe4Pd at its relaxed geometry.

Values from the calculation:
- total magnetic moment (μB per atom) = 0.000
- Fermi-level density of states (states/eV/f.u.) = 0.97
- symmetry = No. 70
- ΔE_f (raw) (eV per atom) = -0.5421

a b c (Å): 7.4437 7.4901 13.9273
angles (deg): 82.37 74.50 60.20
Closest atoms and distances in Å follow each position.
Fractional positions:
Pd1 0.7500 0.5000 0.5000  4 Te 2.66
Pd2 0.0000 0.0000 0.0000  4 Te 2.66
Si1 0.5000 0.0000 0.0000  4 Te 2.55
Si2 0.2500 0.5000 0.5000  4 Te 2.55
Te1 0.2665 0.8666 0.1195  1 Si 2.55, 1 Pd 2.66
Te2 0.4974 0.3666 0.6195  1 Si 2.55, 1 Pd 2.66
Te3 0.6140 0.1334 0.1195  1 Si 2.55, 1 Pd 2.66
Te4 0.4835 0.6334 0.3805  1 Si 2.55, 1 Pd 2.66
Te5 0.1360 0.3666 0.3805  1 Si 2.55, 1 Pd 2.66
Te6 0.2526 0.1334 0.8805  1 Si 2.55, 1 Pd 2.66
Te7 0.8669 0.8666 0.8805  1 Si 2.55, 1 Pd 2.66
Te8 0.8831 0.6334 0.6195  1 Si 2.55, 1 Pd 2.66
Cs1 0.1881 0.0000 0.6238  10 Te 4.04-4.48, 2 Pd 4.10, 2 Si 4.10
Cs2 0.8119 0.0000 0.3762  10 Te 4.04-4.48, 2 Pd 4.10, 2 Si 4.10
Cs3 0.5619 0.5000 0.8762  10 Te 4.04-4.48, 2 Pd 4.10, 2 Si 4.10
Cs4 0.9381 0.5000 0.1238  10 Te 4.04-4.48, 2 Pd 4.10, 2 Si 4.10